Pr2Si5Pt3: relaxed, PBE.

Summary:
Energy ... -129.4 eV per cell
M_tot ... 0.00 μB per formula unit
Crystal system ... orthorhombic
Space group ... Ibam (72)

```
Pr2Si5Pt3
1.0
-5.009 5.847 3.065
5.009 -5.847 3.065
5.009 5.847 -3.065
Si Pt Pr
10 6 4
Direct
0.479 0.250 0.229
0.021 0.250 0.771
0.979 0.750 0.229
0.613 0.351 0.965
0.113 0.149 0.262
0.521 0.750 0.771
0.387 0.649 0.035
0.250 0.750 0.500
0.887 0.851 0.738
0.750 0.250 0.500
0.136 0.390 0.526
0.364 0.890 0.255
0.750 0.750 0.000
0.636 0.110 0.745
0.250 0.250 0.000
0.864 0.610 0.474
0.629 0.767 0.396
0.871 0.267 0.138
0.129 0.733 0.862
0.371 0.233 0.604
```